Entry 1:
Compound: CrFeAg2
Source: the Alexandria database
Functional: SCAN
Structure: single point on PBEsol structure

The structure in extended XYZ format:
```
4
Lattice="4.3758 0.0000 0.0000 2.1879 3.7895 0.0000 2.1879 1.2632 3.5728" Properties=species:S:1:pos:R:3 pbc="T T T"
Ag 0.0000 0.0000 0.0000
Ag 2.1879 1.2632 0.8932
Cr 4.3758 2.5264 1.7864
Fe 6.5637 3.7895 2.6796
```

Output
- Theoretical density: 9.07 g/cm3
- SG: F-43m
- DFT total energy: -24.485 eV per atom
- ΔE_f: 327.0 meV/atom
- Magnetization: 0.22 μB per atom

Entry 2:
Compound: Ge3BP
Source: the Alexandria database
Functional: SCAN
Structure: single point on PBEsol structure

The structure in extended XYZ format:
```
5
Lattice="4.6156 0.0000 0.0000 0.0000 4.6156 0.0000 0.0000 0.0000 4.6156" Properties=species:S:1:pos:R:3 pbc="T T T"
P 0.0000 0.0000 0.0000
Ge 0.0000 2.3078 0.0000
Ge 0.0000 0.0000 2.3078
Ge 2.3078 0.0000 0.0000
B 2.3078 2.3078 2.3078
```

Output
- Theoretical density: 4.39 g/cm3
- SG: Pm-3m
- DFT total energy: -13.464 eV per atom
- ΔE_f: 1554.0 meV/atom
- Magnetization: 0.00 μB per atom

Entry 3:
Compound: MnZnPt2
Source: the Alexandria database
Functional: SCAN
Structure: single point on PBEsol structure

The structure in extended XYZ format:
```
4
Lattice="2.7977 0.0000 0.0000 0.0000 4.5151 0.0224 0.0000 -1.6772 4.5059" Properties=species:S:1:pos:R:3 pbc="T T T"
Mn 0.0000 1.4189 2.2641
Pt 0.0000 0.0000 0.0000
Pt 1.3988 -0.8386 2.2529
Zn 1.3988 2.2576 0.0112
```

Output
- Theoretical density: 14.87 g/cm3
- SG: P2/m
- DFT total energy: -43.552 eV per atom
- ΔE_f: -513.2 meV/atom
- Magnetization: 1.07 μB per atom

Entry 4:
Compound: U3Sb4Ir3
Source: the Alexandria database
Functional: SCAN
Structure: single point on PBEsol structure

The structure in extended XYZ format:
```
20
Lattice="-2.2194 7.8016 -1.2541 -6.5622 -4.8690 -0.7708 3.1120 -0.7785 7.5546" Properties=species:S:1:pos:R:3 pbc="T T T"
U -0.7510 -0.5340 2.4835
U -5.3649 -0.8234 -0.1040
U -3.0429 2.1269 5.1880
U -4.3518 -2.7965 3.7337
U -0.4283 5.6339 4.4723
U -3.0700 2.8555 0.8158
Sb -0.2669 0.3034 5.5553
Sb -0.7249 2.6426 3.0127
Sb -1.1697 -2.9627 4.7402
Sb -0.3961 1.3924 -0.2238
Sb -4.0060 0.2081 2.6273
Sb -6.2138 2.1589 0.7655
Sb -2.7257 -2.5734 0.9629
Sb -1.5058 5.2931 -0.8509
Ir -0.3047 2.9776 5.6338
Ir -4.9187 2.6881 3.0462
Ir -1.3179 4.9506 1.7961
Ir -2.6267 0.0272 0.3418
Ir -2.5997 -0.7014 4.7139
Ir -5.2413 -3.4798 1.0574
```

Output
- Theoretical density: 13.87 g/cm3
- SG: I-43d
- DFT total energy: -67.815 eV per atom
- Magnetization: 0.30 μB per atom
- E_form (uncorrected): -50.5 kJ per mole of atoms

Entry 5:
Compound: BaTc3Sb
Source: the Alexandria database
Functional: SCAN
Structure: single point on PBEsol structure

The structure in extended XYZ format:
```
5
Lattice="-4.7746 -1.2857 0.3103 1.1711 -3.5693 3.2302 -0.6148 3.1863 3.7437" Properties=species:S:1:pos:R:3 pbc="T T T"
Sb 0.0000 0.0000 0.0000
Ba -2.1091 -0.8344 3.6421
Tc 0.5855 -1.7847 1.6151
Tc -0.3074 1.5931 1.8718
Tc -2.3873 -0.6429 0.1551
```

Output
- Theoretical density: 7.55 g/cm3
- SG: Pm-3m
- DFT total energy: -35.058 eV per atom
- Magnetization: 0.76 μB per atom
- E_form (uncorrected): 129.3 kJ per mole of atoms

Entry 6:
Compound: LiVP4H12O18
Source: the Alexandria database
Functional: SCAN
Structure: single point on PBEsol structure

The structure in extended XYZ format:
```
72
Lattice="-2.5539 6.7722 -0.6468 -1.6322 -2.5999 6.5863 12.6789 4.0339 3.6113" Properties=species:S:1:pos:R:3 pbc="T T T"
Li 7.3777 5.5022 5.3767
Li 1.1151 2.7040 4.1741
V 7.7363 1.8552 8.1914
V 0.7565 6.3510 1.3594
P 3.9021 5.4530 8.0753
P -2.5798 4.8850 5.1514
P 8.5742 6.4672 8.1115
P 2.1569 5.2429 5.6941
P 6.3359 2.9634 3.8567
P -0.0814 1.7390 1.4393
P 11.0726 3.3212 4.3994
P 4.5907 2.7532 1.4755
H 8.7884 2.0583 5.7967
H 2.0472 4.1274 0.8376
H 5.4771 7.4104 5.1971
H -0.5118 1.8292 6.1422
H 5.3186 2.9292 7.8473
H -1.4681 5.4598 2.5319
H 4.6642 5.8384 4.5880
H -1.4499 1.5305 4.5504
H 8.6241 7.6211 4.8778
H 9.4414 3.8952 8.0513
H 2.6533 1.8560 5.9649
H 2.7041 5.9236 3.1235
H 5.7887 2.2826 6.4273
H 5.8395 6.3503 3.5859
H -0.9486 4.3110 1.4995
H -0.1313 0.5851 4.6730
H 9.9427 6.6757 5.0004
H 3.8286 2.3679 4.9628
H 9.9609 2.7464 7.0189
H 3.1742 5.2771 1.7036
H 9.0046 6.3770 3.4086
H 3.0156 0.7958 4.3537
H 6.4456 4.0788 8.7132
H -0.2956 6.1479 3.7541
O 4.5327 6.7034 7.5497
O -1.7540 4.1494 6.1585
O 7.4342 6.2997 7.1756
O 1.0985 4.2444 5.3995
O 9.2850 7.9009 7.8339
O 3.0610 4.7106 6.9339
O 7.9975 1.6185 6.2151
O 1.1723 4.5409 0.5974
O 7.8498 9.1495 4.7226
O 9.6700 5.4400 8.1535
O 2.0902 1.2361 7.4677
O 3.1096 5.6701 4.6136
O 5.6376 6.1343 4.5430
O 4.4231 8.3838 2.5909
O -0.4478 1.5337 4.7313
O -1.1875 -1.0451 6.5056
O 5.8776 2.2132 7.4411
O -0.9651 5.3138 1.6858
O 9.4579 2.8924 7.8650
O 2.6152 5.9931 2.1098
O 9.6803 9.2514 3.0452
O 8.9406 6.6725 4.8195
O 4.0697 -0.1776 6.9599
O 2.8552 2.0719 5.0078
O 5.3832 2.5361 4.9372
O 6.4026 6.9702 2.0831
O -1.1772 2.7663 1.3973
O 0.6430 -0.9433 4.8283
O 7.3205 3.6653 8.9534
O 0.4953 6.5877 3.3358
O 5.4318 3.4957 2.6169
O -0.7922 0.3053 1.7169
O 7.3943 3.9618 4.1513
O 1.0586 1.9065 2.3753
O 10.2468 4.0568 3.3923
O 3.9601 1.5028 2.0012
```

Output
- Theoretical density: 2.35 g/cm3
- SG: C2/c
- DFT total energy: -7.716 eV per atom
- Magnetization: 0.06 μB per atom

Entry 7:
Compound: TlRe2W
Source: the Alexandria database
Functional: SCAN
Structure: single point on PBEsol structure

The structure in extended XYZ format:
```
4
Lattice="-1.8896 -1.9297 -1.3667 -0.3839 -2.4746 4.0247 -3.4057 3.2966 0.0543" Properties=species:S:1:pos:R:3 pbc="T T T"
Re -0.1920 -1.2373 2.0124
Re -1.7029 1.6483 0.0271
Tl -0.9448 -0.9648 -0.6834
W -2.8397 -0.5538 1.3562
```

Output
- Theoretical density: 19.44 g/cm3
- SG: Cmmm
- DFT total energy: -70.111 eV per atom
- ΔE_f: 949.4 meV/atom
- Magnetization: 0.00 μB per atom

Entry 8:
Compound: ReGe3B
Source: the Alexandria database
Functional: SCAN
Structure: single point on PBEsol structure

The structure in extended XYZ format:
```
5
Lattice="-0.1503 3.6918 3.0005 -0.3581 -3.0023 3.6761 4.7439 -0.1097 0.3726" Properties=species:S:1:pos:R:3 pbc="T T T"
Re 0.0000 0.0000 0.0000
Ge -0.1791 -1.5012 1.8380
Ge 2.3720 -0.0548 0.1863
Ge -0.0752 1.8459 1.5003
B 2.1177 0.2899 3.5246
```

Output
- Theoretical density: 6.39 g/cm3
- SG: Pm-3m
- DFT total energy: -25.879 eV per atom
- ΔE_f: 1279.2 meV/atom
- Magnetization: 0.23 μB per atom

What did the sixth record say?
Compound: LiVP4H12O18
Source: the Alexandria database
Functional: SCAN
Structure: single point on PBEsol structure

The structure in extended XYZ format:
```
72
Lattice="-2.5539 6.7722 -0.6468 -1.6322 -2.5999 6.5863 12.6789 4.0339 3.6113" Properties=species:S:1:pos:R:3 pbc="T T T"
Li 7.3777 5.5022 5.3767
Li 1.1151 2.7040 4.1741
V 7.7363 1.8552 8.1914
V 0.7565 6.3510 1.3594
P 3.9021 5.4530 8.0753
P -2.5798 4.8850 5.1514
P 8.5742 6.4672 8.1115
P 2.1569 5.2429 5.6941
P 6.3359 2.9634 3.8567
P -0.0814 1.7390 1.4393
P 11.0726 3.3212 4.3994
P 4.5907 2.7532 1.4755
H 8.7884 2.0583 5.7967
H 2.0472 4.1274 0.8376
H 5.4771 7.4104 5.1971
H -0.5118 1.8292 6.1422
H 5.3186 2.9292 7.8473
H -1.4681 5.4598 2.5319
H 4.6642 5.8384 4.5880
H -1.4499 1.5305 4.5504
H 8.6241 7.6211 4.8778
H 9.4414 3.8952 8.0513
H 2.6533 1.8560 5.9649
H 2.7041 5.9236 3.1235
H 5.7887 2.2826 6.4273
H 5.8395 6.3503 3.5859
H -0.9486 4.3110 1.4995
H -0.1313 0.5851 4.6730
H 9.9427 6.6757 5.0004
H 3.8286 2.3679 4.9628
H 9.9609 2.7464 7.0189
H 3.1742 5.2771 1.7036
H 9.0046 6.3770 3.4086
H 3.0156 0.7958 4.3537
H 6.4456 4.0788 8.7132
H -0.2956 6.1479 3.7541
O 4.5327 6.7034 7.5497
O -1.7540 4.1494 6.1585
O 7.4342 6.2997 7.1756
O 1.0985 4.2444 5.3995
O 9.2850 7.9009 7.8339
O 3.0610 4.7106 6.9339
O 7.9975 1.6185 6.2151
O 1.1723 4.5409 0.5974
O 7.8498 9.1495 4.7226
O 9.6700 5.4400 8.1535
O 2.0902 1.2361 7.4677
O 3.1096 5.6701 4.6136
O 5.6376 6.1343 4.5430
O 4.4231 8.3838 2.5909
O -0.4478 1.5337 4.7313
O -1.1875 -1.0451 6.5056
O 5.8776 2.2132 7.4411
O -0.9651 5.3138 1.6858
O 9.4579 2.8924 7.8650
O 2.6152 5.9931 2.1098
O 9.6803 9.2514 3.0452
O 8.9406 6.6725 4.8195
O 4.0697 -0.1776 6.9599
O 2.8552 2.0719 5.0078
O 5.3832 2.5361 4.9372
O 6.4026 6.9702 2.0831
O -1.1772 2.7663 1.3973
O 0.6430 -0.9433 4.8283
O 7.3205 3.6653 8.9534
O 0.4953 6.5877 3.3358
O 5.4318 3.4957 2.6169
O -0.7922 0.3053 1.7169
O 7.3943 3.9618 4.1513
O 1.0586 1.9065 2.3753
O 10.2468 4.0568 3.3923
O 3.9601 1.5028 2.0012
```

Output
- Theoretical density: 2.35 g/cm3
- SG: C2/c
- DFT total energy: -7.716 eV per atom
- Magnetization: 0.06 μB per atom

- Look up the DFT total energy of the third one.
  -43.552 eV per atom

- What is the DFT total energy in the seventh record?
  -70.111 eV per atom